Entry 1:
La2TlSnRh: optimized geometry, GGA-PBE.

Lattice parameters (Å, degrees): 5.462 5.462 5.206 90.00 90.00 90.00
Sites, in units of the cell vectors:
Tl: 0.000 0.000 0.500
La: 0.500 0.000 0.000
Rh: 0.000 0.000 0.000
La: 0.000 0.500 0.000
Sn: 0.500 0.500 0.500

Results
- space-group type = P4/mmm, No. 123
- energy above the most stable polymorph in this dataset (eV/atom) = 0.0115

---

Entry 2:
LaTlSn2Rh: optimized geometry, GGA-PBE.

Lattice parameters (Å, degrees): 5.196 5.196 5.326 90.00 90.00 90.00
Sites, in units of the cell vectors:
La: 0.000 0.000 0.500
Sn: 0.000 0.500 0.000
Sn: 0.500 0.000 0.000
Tl: 0.500 0.500 0.500
Rh: 0.000 0.000 0.000

Results
- space-group type = P4/mmm, No. 123
- final energy (hartree per atom) = -0.1817

---

Entry 3:
La2TlSnRh: optimized geometry, GGA-PBE.

Lattice parameters (Å, degrees): 5.503 5.503 5.125 90.00 90.00 90.00
Sites, in units of the cell vectors:
La: 0.500 0.000 0.000
Sn: 0.000 0.000 0.500
La: 0.000 0.500 0.000
Rh: 0.000 0.000 0.000
Tl: 0.500 0.500 0.500

Results
- space-group type = P4/mmm, No. 123
- energy above the most stable polymorph in this dataset (eV/atom) = 0.0000

---

Entry 4:
La2YSn3Rh4: optimized geometry, GGA-PBE.

Lattice parameters (Å, degrees): 4.446 4.446 11.524 90.00 90.00 90.00
Sites, in units of the cell vectors:
Rh: 0.000 0.500 0.352
Sn: 0.000 0.500 0.124
Sn: 0.500 0.000 0.876
Rh: 0.500 0.000 0.648
Rh: 0.000 0.000 0.000
Y: 0.500 0.500 0.500
La: 0.500 0.000 0.235
Rh: 0.500 0.500 0.000
Sn: 0.000 0.000 0.500
La: 0.000 0.500 0.765

Results
- space-group type = P-4m2, No. 115
- final energy (hartree per atom) = -0.2410

---

Entry 5:
Sr2LaRh: optimized geometry, GGA-PBE.

Lattice parameters (Å, degrees): 9.497 9.497 4.452 76.46 76.46 22.63
Sites, in units of the cell vectors:
La: 0.750 0.750 0.750
Rh: 0.250 0.250 0.250
Sr: 0.910 0.910 0.090
Sr: 0.590 0.590 0.410

Results
- space-group type = Immm, No. 71
- energy above the most stable polymorph in this dataset (eV/atom) = 0.1203

---

Entry 6:
SrLaRh2: optimized geometry, GGA-PBE.

Lattice parameters (Å, degrees): 7.706 7.706 6.372 52.80 52.80 90.00
Sites, in units of the cell vectors:
Sr: 0.250 0.750 0.500
Rh: 0.875 0.902 0.750
La: 0.000 0.000 0.000
Sr: 0.500 0.500 0.000
Rh: 0.098 0.625 0.250
Rh: 0.652 0.125 0.250
La: 0.750 0.250 0.500
Rh: 0.375 0.348 0.750

Results
- space-group type = I-42d, No. 122
- final energy (hartree per atom) = -0.2034

---

no.,spin magnetization (Bohr magnetons per cell)
1,0.00
2,0.00
3,0.00
4,0.00
5,0.00
6,0.00